No. 1
Computed, not measured: a relaxed Tb3As5S12 crystal at the PBE level of DFT.

Cell lengths 15.5430, 15.5430, 15.5430 Å; angles 90.00, 90.00, 90.00 degrees
Closest atoms and distances in Å follow each position.
Space group Ia-3d (No. 230)
Unique sites:
Tb (0.0000, 0.2500, 0.1250) [24 per cell]  8 S 2.90-2.96
As (0.0000, 0.0000, 0.0000) [16 per cell]  6 S 2.57
As (0.0000, 0.2500, 0.3750) [24 per cell]  4 S 2.44
S (0.0203, 0.0628, 0.6515) [96 per cell]  2 As 2.44-2.57

Results
final energy: -5.03 eV per atom
uncorrected formation energy: -0.6927 eV per atom

No. 2
Computed, not measured: a relaxed Tb3AsS3 crystal at the PBE level of DFT.

Cell lengths 7.9423, 7.9423, 19.6234 Å; angles 90.00, 90.00, 120.00 degrees
Closest atoms and distances in Å follow each position.
Space group R-3 (No. 148, hexagonal axes)
Unique sites:
Tb (0.0134, 0.3903, 0.4136) [18 per cell]  4 S 2.71-2.79, 1 As 2.93
As (0.0000, 0.0000, 0.1666) [6 per cell]  6 Tb 2.93-3.07
S (0.0160, 0.2812, 0.6081) [18 per cell]  4 Tb 2.71-2.79

Results
final energy: -6.22 eV per atom
uncorrected formation energy: -1.7991 eV per atom

No. 3
Computed, not measured: a relaxed Tb2AsS crystal at the PBE level of DFT.

Cell lengths 5.7093, 5.7093, 11.4563 Å; angles 90.00, 90.00, 90.00 degrees
Closest atoms and distances in Å follow each position.
Space group I4_1/amd (No. 141, origin choice 2)
Unique sites:
Tb (0.0000, 0.2500, 0.1252) [8 per cell]  3 S 2.85-2.87, 3 As 2.85-2.86
As (0.0000, 0.2500, 0.3750) [4 per cell]  6 Tb 2.85-2.86
S (0.0000, 0.2500, 0.8750) [4 per cell]  6 Tb 2.85-2.87

Results
final energy: -6.31 eV per atom
uncorrected formation energy: -1.8036 eV per atom
excess energy over the best structure of this formula in the dataset: 2 meV per atom

No. 4
Computed, not measured: a relaxed Tb5AsS4 crystal at the PBE level of DFT.

Cell lengths 13.2075, 3.9656, 9.7161 Å; angles 90.00, 119.50, 90.00 degrees
Closest atoms and distances in Å follow each position.
Space group C2/m (No. 12)
Unique sites:
Tb (0.0000, 0.0000, 0.0000) [2 per cell]  6 S 2.79-2.80
Tb (0.1018, 0.5000, 0.3980) [4 per cell]  4 S 2.80-2.82, 2 As 2.83
Tb (0.2002, 0.0000, 0.8040) [4 per cell]  5 S 2.80, 1 As 2.83
As (0.0000, 0.0000, 0.5000) [2 per cell]  6 Tb 2.83
S (0.0982, 0.5000, 0.9001) [4 per cell]  6 Tb 2.79-2.80
S (0.2010, 0.0000, 0.2968) [4 per cell]  6 Tb 2.80-2.82

Results
final energy: -6.36 eV per atom
uncorrected formation energy: -1.9313 eV per atom

No. 5
Computed, not measured: a relaxed TbAsS2 crystal at the PBE level of DFT.

Cell lengths 3.7320, 3.7320, 24.7184 Å; angles 90.00, 90.00, 120.00 degrees
Closest atoms and distances in Å follow each position.
Space group R-3m (No. 166, hexagonal axes)
Unique sites:
Tb (0.0000, 0.0000, 0.0000) [3 per cell]  2 S 2.70
As (0.0000, 0.0000, 0.5000) [3 per cell]  6 S 2.58
S (0.0000, 0.0000, 0.1094) [6 per cell]  3 As 2.58, 1 Tb 2.70

Results
final energy: -4.71 eV per atom
uncorrected formation energy: -0.3228 eV per atom

No. 6
Computed, not measured: a relaxed Tb2AsS5 crystal at the PBE level of DFT.

Cell lengths 5.2031, 13.3113, 12.5234 Å; angles 90.00, 90.00, 90.00 degrees
Closest atoms and distances in Å follow each position.
Space group Cmcm (No. 63)
Unique sites:
Tb (0.0000, 0.1581, 0.0707) [8 per cell]  6 S 2.69-2.83
As (0.0000, 0.1583, 0.7500) [4 per cell]  2 S 2.32
S (0.0000, 0.0438, 0.6104) [8 per cell]  1 As 2.32
S (0.0000, 0.2878, 0.2500) [4 per cell]  2 As 2.70, 2 Tb 2.83
S (0.0000, 0.2959, 0.5937) [8 per cell]  1 As 2.68, 3 Tb 2.69-2.76

Results
final energy: -5.48 eV per atom
uncorrected formation energy: -1.1584 eV per atom

No. 7
Computed, not measured: a relaxed Tb6As5S crystal at the PBE level of DFT.

Cell lengths 7.1160, 12.3155, 7.1180 Å; angles 90.00, 109.44, 90.00 degrees
Closest atoms and distances in Å follow each position.
Space group C2/m (No. 12)
Unique sites:
Tb (0.2494, 0.0000, 0.2490) [4 per cell]  5 As 2.90-2.91, 1 S 2.91
Tb (0.2498, 0.1665, 0.7498) [8 per cell]  1 S 2.90, 5 As 2.90-2.91
As (0.0000, 0.1669, 0.0000) [4 per cell]  6 Tb 2.90-2.91
As (0.0000, 0.3333, 0.5000) [4 per cell]  6 Tb 2.90-2.91
As (0.0000, 0.5000, 0.0000) [2 per cell]  6 Tb 2.90
S (0.0000, 0.0000, 0.5000) [2 per cell]  6 Tb 2.90-2.91

Results
final energy: -6.25 eV per atom
uncorrected formation energy: -1.6508 eV per atom

No. 8
Computed, not measured: a relaxed TbAsS4 crystal at the PBE level of DFT.

Cell lengths 5.8269, 8.8563, 6.4204 Å; angles 90.00, 109.12, 90.00 degrees
Closest atoms and distances in Å follow each position.
Space group P2_1/m (No. 11)
Unique sites:
Tb (0.1487, 0.2500, 0.1560) [2 per cell]  6 S 2.75-2.87
As (0.3079, 0.7500, 0.4124) [2 per cell]  4 S 2.14-2.24
S (0.0768, 0.5670, 0.2051) [4 per cell]  1 As 2.24
S (0.3325, 0.2500, 0.6088) [2 per cell]  1 As 2.14
S (0.3468, 0.7500, 0.7672) [2 per cell]  1 As 2.21

Results
final energy: -5.09 eV per atom
uncorrected formation energy: -0.7914 eV per atom

No. 9
Computed, not measured: a relaxed Tb2AsS crystal at the PBE level of DFT.

Cell lengths 3.9705, 3.9705, 20.9647 Å; angles 90.00, 90.00, 120.00 degrees
Closest atoms and distances in Å follow each position.
Space group R3m (No. 160, hexagonal axes)
Unique sites:
Tb (0.0000, 0.0000, 0.0000) [3 per cell]  3 As 2.82, 3 S 2.91
Tb (0.0000, 0.0000, 0.1740) [3 per cell]  3 As 2.85, 3 S 2.95
As (0.0000, 0.0000, 0.5882) [3 per cell]  6 Tb 2.82-2.85
S (0.0000, 0.0000, 0.4187) [3 per cell]  6 Tb 2.91-2.95

Results
final energy: -6.20 eV per atom
uncorrected formation energy: -1.6856 eV per atom
excess energy over the best structure of this formula in the dataset: 120 meV per atom

No. 10
Computed, not measured: a relaxed Tb4Te2AsS crystal at the PBE level of DFT.

Cell lengths 7.1710, 4.1540, 7.4740 Å; angles 90.00, 108.78, 90.00 degrees
Closest atoms and distances in Å follow each position.
Space group P2/m (No. 10)
Unique sites:
Tb (0.2313, 0.0000, 0.2087) [2 per cell]  2 S 2.80, 1 As 2.84, 1 Te 3.13
Tb (0.2576, 0.5000, 0.7871) [2 per cell]  1 S 2.80, 2 As 2.84, 2 Te 3.13
Te (0.0000, 0.0000, 0.5000) [1 per cell]  6 Tb 3.13
Te (0.5000, 0.5000, 0.5000) [1 per cell]  6 Tb 3.17
As (0.5000, 0.0000, 0.0000) [1 per cell]  6 Tb 2.84
S (0.0000, 0.5000, 0.0000) [1 per cell]  6 Tb 2.80

Results
final energy: -5.79 eV per atom
uncorrected formation energy: -1.5938 eV per atom

No. 11
Computed, not measured: a relaxed Tb6Te3AsS2 crystal at the PBE level of DFT.

Cell lengths 7.1554, 12.3857, 7.4412 Å; angles 90.00, 108.73, 90.00 degrees
Closest atoms and distances in Å follow each position.
Space group C2/m (No. 12)
Unique sites:
Tb (0.2298, 0.0000, 0.2066) [4 per cell]  2 S 2.78, 1 As 2.83
Tb (0.2393, 0.3307, 0.2087) [8 per cell]  2 S 2.78, 1 As 2.83
Te (0.0000, 0.0000, 0.5000) [2 per cell]  6 Tb 3.13-3.16
Te (0.0000, 0.3355, 0.5000) [4 per cell]  6 Tb 3.13-3.16
As (0.0000, 0.5000, 0.0000) [2 per cell]  6 Tb 2.83
S (0.0000, 0.1671, 0.0000) [4 per cell]  6 Tb 2.78

Results
final energy: -5.80 eV per atom
uncorrected formation energy: -1.6234 eV per atom

No. 12
Computed, not measured: a relaxed Tb8Te4As3S crystal at the PBE level of DFT.

Cell lengths 8.3584, 8.3584, 21.3104 Å; angles 90.00, 90.00, 120.00 degrees
Closest atoms and distances in Å follow each position.
Space group R-3m (No. 166, hexagonal axes)
Unique sites:
Tb (0.0000, 0.0000, 0.2393) [6 per cell]  3 As 2.87, 3 Te 3.14
Tb (0.0037, 0.5019, 0.2379) [18 per cell]  1 S 2.83, 2 As 2.86, 2 Te 3.15
Te (0.0000, 0.0000, 0.0000) [3 per cell]  6 Tb 3.18
Te (0.0000, 0.5000, 0.0000) [9 per cell]  6 Tb 3.14-3.15
As (0.0000, 0.5000, 0.5000) [9 per cell]  6 Tb 2.86-2.87
S (0.0000, 0.0000, 0.5000) [3 per cell]  6 Tb 2.83

Results
final energy: -5.78 eV per atom
uncorrected formation energy: -1.5493 eV per atom

No. 13
Computed, not measured: a relaxed Tb4TeAs2S crystal at the PBE level of DFT.

Cell lengths 7.2064, 4.1420, 7.2181 Å; angles 90.00, 109.29, 90.00 degrees
Closest atoms and distances in Å follow each position.
Space group P2/m (No. 10)
Unique sites:
Tb (0.2304, 0.0000, 0.2299) [2 per cell]  3 As 2.82-2.94, 1 S 2.95, 2 Te 3.06
Tb (0.2420, 0.5000, 0.7610) [2 per cell]  3 As 2.83-2.93, 2 S 2.95, 1 Te 3.05
Te (0.5000, 0.5000, 0.5000) [1 per cell]  6 Tb 3.05-3.06
As (0.0000, 0.5000, 0.0000) [1 per cell]  6 Tb 2.82-2.83
As (0.5000, 0.0000, 0.0000) [1 per cell]  6 Tb 2.93-2.94
S (0.0000, 0.0000, 0.5000) [1 per cell]  6 Tb 2.95

Results
final energy: -6.00 eV per atom
uncorrected formation energy: -1.6149 eV per atom

No. 14
Computed, not measured: a relaxed Tb6Te3As2S crystal at the PBE level of DFT.

Cell lengths 18.6037, 4.1755, 8.5511 Å; angles 90.00, 105.47, 90.00 degrees
Closest atoms and distances in Å follow each position.
Space group C2/m (No. 12)
Unique sites:
Tb (0.0060, 0.0000, 0.2218) [4 per cell]  2 S 2.80, 1 As 2.87
Tb (0.1548, 0.5000, 0.0968) [4 per cell]  1 S 2.78, 2 As 2.86
Tb (0.1733, 0.5000, 0.5644) [4 per cell]  3 As 2.86-2.88, 3 Te 3.12-3.13
Te (0.0000, 0.5000, 0.5000) [2 per cell]  6 Tb 3.12-3.19
Te (0.1681, 0.0000, 0.8340) [4 per cell]  6 Tb 3.13-3.19
As (0.1660, 0.0000, 0.3314) [4 per cell]  6 Tb 2.86-2.88
S (0.0000, 0.5000, 0.0000) [2 per cell]  6 Tb 2.78-2.80

Results
final energy: -5.78 eV per atom
uncorrected formation energy: -1.5651 eV per atom

No. 15
Computed, not measured: a relaxed Tb4TeAsS2 crystal at the PBE level of DFT.

Cell lengths 7.0950, 4.0595, 7.1467 Å; angles 90.00, 108.95, 90.00 degrees
Closest atoms and distances in Å follow each position.
Space group P2/m (No. 10)
Unique sites:
Tb (0.2199, 0.0000, 0.2206) [2 per cell]  3 S 2.73-2.91, 1 As 2.91
Tb (0.2357, 0.5000, 0.7633) [2 per cell]  3 S 2.74-2.90, 2 As 2.90, 1 Te 3.06
Te (0.5000, 0.5000, 0.5000) [1 per cell]  6 Tb 3.06-3.08
As (0.5000, 0.0000, 0.0000) [1 per cell]  6 Tb 2.90-2.91
S (0.0000, 0.0000, 0.5000) [1 per cell]  6 Tb 2.90-2.91
S (0.0000, 0.5000, 0.0000) [1 per cell]  6 Tb 2.73-2.74

Results
final energy: -6.04 eV per atom
uncorrected formation energy: -1.7229 eV per atom

No. 16
Computed, not measured: a relaxed Tb8Te3AsS3 crystal at the PBE level of DFT.

Cell lengths 8.1485, 8.1485, 20.8161 Å; angles 90.00, 90.00, 120.00 degrees
Closest atoms and distances in Å follow each position.
Space group R-3m (No. 166, hexagonal axes)
Unique sites:
Tb (0.0000, 0.0000, 0.2339) [6 per cell]  3 S 2.74
Tb (0.0100, 0.5050, 0.7611) [18 per cell]  2 S 2.76, 1 As 2.85, 2 Te 3.09
Te (0.0000, 0.5000, 0.0000) [9 per cell]  6 Tb 3.09-3.13
As (0.0000, 0.0000, 0.5000) [3 per cell]  6 Tb 2.85
S (0.0000, 0.5000, 0.5000) [9 per cell]  6 Tb 2.74-2.76

Results
final energy: -5.77 eV per atom
uncorrected formation energy: -1.5338 eV per atom

No. 17
Computed, not measured: a relaxed Tb6TeAs2S3 crystal at the PBE level of DFT.

Cell lengths 17.7525, 4.0644, 8.1836 Å; angles 90.00, 103.02, 90.00 degrees
Closest atoms and distances in Å follow each position.
Space group C2/m (No. 12)
Unique sites:
Tb (0.9999, 0.0000, 0.2208) [4 per cell]  3 S 2.72-2.84, 1 As 2.89
Tb (0.1663, 0.5000, 0.0837) [4 per cell]  3 S 2.88-2.89, 3 As 2.89
Tb (0.1769, 0.5000, 0.5895) [4 per cell]  3 S 2.76-2.89, 2 As 2.88, 1 Te 3.06
Te (0.0000, 0.5000, 0.5000) [2 per cell]  6 Tb 3.06
As (0.1666, 0.0000, 0.8322) [4 per cell]  6 Tb 2.88-2.89
S (0.0000, 0.5000, 0.0000) [2 per cell]  6 Tb 2.72-2.88
S (0.1633, 0.0000, 0.3329) [4 per cell]  6 Tb 2.76-2.89

Results
final energy: -6.13 eV per atom
uncorrected formation energy: -1.7477 eV per atom

No. 18
Computed, not measured: a relaxed TbThAsS crystal at the PBE level of DFT.

Cell lengths 4.0785, 4.0785, 5.8567 Å; angles 90.00, 90.00, 90.00 degrees
Closest atoms and distances in Å follow each position.
Space group P4/mmm (No. 123)
Unique sites:
Tb (0.0000, 0.0000, 0.0000) [1 per cell]  4 As 2.88, 2 S 2.93
Th (0.5000, 0.5000, 0.5000) [1 per cell]  4 S 2.88, 2 As 2.93
As (0.5000, 0.5000, 0.0000) [1 per cell]  4 Tb 2.88, 2 Th 2.93
S (0.0000, 0.0000, 0.5000) [1 per cell]  4 Th 2.88, 2 Tb 2.93

Results
final energy: -6.89 eV per atom
uncorrected formation energy: -1.6833 eV per atom

No. 19
Computed, not measured: a relaxed Tb4Tl2AsS crystal at the PBE level of DFT.

Cell lengths 6.8393, 3.9366, 8.2486 Å; angles 90.00, 105.90, 90.00 degrees
Closest atoms and distances in Å follow each position.
Space group P2/m (No. 10)
Unique sites:
Tb (0.2316, 0.0000, 0.2068) [2 per cell]  2 S 2.80, 1 As 2.83
Tb (0.2607, 0.5000, 0.7902) [2 per cell]  1 S 2.80, 2 As 2.83
Tl (0.0000, 0.0000, 0.5000) [1 per cell]  6 Tb 3.23
Tl (0.5000, 0.5000, 0.5000) [1 per cell]  6 Tb 3.25-3.26
As (0.5000, 0.0000, 0.0000) [1 per cell]  6 Tb 2.83
S (0.0000, 0.5000, 0.0000) [1 per cell]  6 Tb 2.80

Results
final energy: -5.05 eV per atom
uncorrected formation energy: -1.0480 eV per atom